# 1
Computed, not measured: YTa2Br after structural relaxation at the PBE-GGA level of DFT.

Unit cell a=3.232 b=4.680 c=11.365 alpha=90.00 beta=90.00 gamma=90.00
Space group Immm (No. 71)
Asymmetric unit:
Y 0.000 0.000 0.000 [2 per cell]
Ta 0.000 0.500 0.239 [4 per cell]
Br 0.000 0.000 0.500 [2 per cell]


# 2
Computed, not measured: YTa2Br after structural relaxation at the PBE-GGA level of DFT.

Unit cell a=3.390 b=5.549 c=9.491 alpha=90.00 beta=90.00 gamma=90.00
Space group Imm2 (No. 44)
Asymmetric unit:
Y 0.000 0.000 0.000 [2 per cell]
Ta 0.000 0.000 0.494 [2 per cell]
Ta 0.000 0.500 0.216 [2 per cell]
Br 0.000 0.500 0.767 [2 per cell]


# 3
Computed, not measured: YTa2Br after structural relaxation at the PBE-GGA level of DFT.

Unit cell a=4.704 b=4.704 c=7.637 alpha=90.00 beta=90.00 gamma=90.00
Space group I-4m2 (No. 119)
Asymmetric unit:
Y 0.000 0.000 0.000 [2 per cell]
Ta 0.000 0.000 0.500 [2 per cell]
Ta 0.000 0.500 0.750 [2 per cell]
Br 0.000 0.500 0.250 [2 per cell]


# 4
Computed, not measured: YTa2Br after structural relaxation at the PBE-GGA level of DFT.

Unit cell a=3.959 b=3.959 c=5.528 alpha=90.00 beta=90.00 gamma=90.00
Space group P4/mmm (No. 123)
Asymmetric unit:
Y 0.000 0.000 0.000 [1 per cell]
Ta 0.000 0.500 0.500 [2 per cell]
Br 0.500 0.500 0.000 [1 per cell]


no.,volume (Å³/f.u.),E_form (uncorrected) (kJ/mol of atoms),energy above the most stable polymorph in this dataset (eV per atom)
1,86.0,30,0.377
2,89.3,48,0.567
3,84.5,59,0.681
4,86.7,41,0.487